[1]
A relaxed Sr3Ga8Au3 crystal, computed with PBE.

```
Sr3Ga8Au3
1.0
-2.2664 5.0983 6.5007
2.2664 -5.0983 6.5007
2.2664 5.0983 -6.5007
Sr Ga Au
3 8 3
Cartesian
0.0000 0.0000 0.0000
0.0000 0.0000 4.1018
0.0000 0.0000 8.8996
2.2664 -1.3435 2.2244
2.2664 -2.2659 4.7684
2.2664 1.3435 2.2244
0.0000 2.8324 1.7323
2.2664 2.2659 4.7684
0.0000 3.7548 4.2763
0.0000 7.3641 1.7323
0.0000 6.4418 4.2763
2.2664 2.7544 0.0000
0.0000 5.0983 0.0000
0.0000 2.3438 6.5007
```

Output
The value obtained for the volume is 300.5 Å³/cell. The total moment is 0.00 μB per cell. As for the space group: Immm. As for the crystal system: orthorhombic. For the formation energy, the calculation gives -6.70 eV/f.u. Its energy above the lowest structure with this stoichiometry is 0.009 eV per atom. For the total energy, the calculation gives -45.79 eV per formula unit.


[2]
A relaxed Sr3GaAu crystal, computed with PBE.

```
Sr3GaAu
1.0
11.2825 -2.1788 0.0000
11.2825 2.1788 0.0000
-1.1907 0.0000 7.3255
Sr Ga Au
6 2 2
Cartesian
-0.0448 0.0000 1.7743
3.9454 0.0000 0.8844
7.7461 0.0000 2.7234
13.6281 0.0000 4.6021
17.4288 0.0000 6.4411
21.4191 0.0000 5.5513
4.7441 0.0000 4.3202
16.6302 0.0000 3.0053
9.6185 0.0000 0.0000
11.7558 0.0000 7.3255
```

Output
The value obtained for the volume is 360.1 Å³/cell. The total moment is 0.00 μB per cell. As for the space group: C2/m. As for the crystal system: monoclinic. For the formation energy, the calculation gives -2.28 eV/f.u. Its energy above the lowest structure with this stoichiometry is 0.000 eV per atom. For the total energy, the calculation gives -13.63 eV per formula unit.


[3]
A relaxed SrGaAu2 crystal, computed with PBE.

```
SrGaAu2
1.0
3.6796 0.0000 0.0000
0.0000 3.6796 0.0000
0.0000 0.0000 6.8767
Sr Ga Au
1 1 2
Cartesian
0.0000 0.0000 0.0000
0.0000 0.0000 3.4384
1.8398 1.8398 1.9820
1.8398 1.8398 4.8948
```

Output
The value obtained for the volume is 93.1 Å³/cell. The total moment is 0.00 μB per cell. As for the space group: P4/mmm. As for the crystal system: tetragonal. For the formation energy, the calculation gives -1.80 eV/f.u. For the total energy, the calculation gives -13.06 eV per formula unit.


[4]
A relaxed Sr2Ga7Au crystal, computed with PBE.

```
Sr2Ga7Au
1.0
4.4355 0.0000 0.0000
0.0000 4.4355 0.0000
0.0000 0.0000 10.9709
Sr Ga Au
2 7 1
Cartesian
0.0000 2.2177 2.7471
2.2177 0.0000 8.2237
0.0000 0.0000 0.0000
0.0000 0.0000 5.4854
0.0000 2.2177 6.9508
0.0000 2.2177 9.5007
2.2177 0.0000 1.4702
2.2177 0.0000 4.0200
2.2177 2.2177 5.4854
2.2177 2.2177 0.0000
```

Output
The value obtained for the volume is 215.8 Å³/cell. The total moment is 0.00 μB per cell. As for the space group: P-4m2. As for the crystal system: tetragonal. For the formation energy, the calculation gives -4.69 eV/f.u. For the total energy, the calculation gives -32.52 eV per formula unit.


[5]
A relaxed SrGa3Au2 crystal, computed with PBE.

```
SrGa3Au2
1.0
8.0726 -2.2087 0.0000
8.0726 2.2087 0.0000
-3.4426 0.0000 7.4483
Sr Ga Au
2 6 4
Cartesian
1.9755 0.0000 0.6944
10.7271 0.0000 6.7539
-1.0124 0.0000 2.6567
3.3230 0.0000 4.1091
5.0734 0.0000 1.7182
7.6293 0.0000 5.7300
9.3796 0.0000 3.3392
13.7150 0.0000 4.7916
0.7246 0.0000 4.8579
5.0579 0.0000 6.0990
7.6447 0.0000 1.3493
11.9780 0.0000 2.5904
```

Output
The value obtained for the volume is 265.6 Å³/cell. The total moment is 0.00 μB per cell. As for the space group: C2/m. As for the crystal system: monoclinic. For the formation energy, the calculation gives -2.82 eV/f.u. For the total energy, the calculation gives -20.14 eV per formula unit.


[6]
A relaxed Sr2GaAu2 crystal, computed with PBE.

```
Sr2GaAu2
1.0
5.8889 -2.2454 0.0000
5.8889 2.2454 0.0000
-5.4514 0.0000 10.2488
Sr Ga Au
4 2 4
Cartesian
-1.7880 0.0000 3.4463
1.6110 0.0000 1.1386
4.7155 0.0000 9.1101
8.1144 0.0000 6.8025
-0.1761 0.0000 6.5627
6.5025 0.0000 3.6861
1.7576 0.0000 4.4348
5.0496 0.0000 1.2381
1.2768 0.0000 9.0106
4.5688 0.0000 5.8140
```

Output
The value obtained for the volume is 271.0 Å³/cell. The total moment is 0.00 μB per cell. As for the space group: C2/m. As for the crystal system: monoclinic. For the formation energy, the calculation gives -3.40 eV/f.u. For the total energy, the calculation gives -16.35 eV per formula unit.


[7]
A relaxed SrGaAu3 crystal, computed with PBE.

```
SrGaAu3
1.0
6.6771 0.0000 0.0000
-3.3385 5.7825 0.0000
0.0000 0.0000 5.9141
Sr Ga Au
2 2 6
Cartesian
0.0000 3.8550 1.4785
3.3385 1.9275 4.4356
0.0000 0.0000 0.0000
0.0000 0.0000 2.9570
0.0000 2.2185 4.4356
-1.4172 4.6732 4.4356
1.9213 1.1093 1.4785
1.4172 4.6732 4.4356
4.7558 1.1093 1.4785
3.3385 3.5640 1.4785
```

Output
The value obtained for the volume is 228.4 Å³/cell. The total moment is 0.00 μB per cell. As for the space group: P6_3/mmc. As for the crystal system: hexagonal. For the formation energy, the calculation gives -2.76 eV/f.u. Its energy above the lowest structure with this stoichiometry is 0.002 eV per atom. For the total energy, the calculation gives -17.30 eV per formula unit.


[8]
A relaxed Sr4GaAu crystal, computed with PBE.

```
Sr4GaAu
1.0
3.9596 0.0000 0.0000
0.0000 3.9596 0.0000
0.0000 0.0000 14.0795
Sr Ga Au
4 1 1
Cartesian
0.0000 0.0000 1.8229
0.0000 0.0000 12.2566
1.9798 1.9798 5.1992
1.9798 1.9798 8.8803
0.0000 0.0000 7.0397
1.9798 1.9798 0.0000
```

Output
The value obtained for the volume is 220.7 Å³/cell. The total moment is 0.00 μB per cell. As for the space group: P4/mmm. As for the crystal system: tetragonal. For the formation energy, the calculation gives -2.33 eV/f.u. For the total energy, the calculation gives -15.37 eV per formula unit.


[9]
A relaxed Sr2GaAu3 crystal, computed with PBE.

```
Sr2GaAu3
1.0
4.1253 0.0000 0.0000
0.0000 4.6573 0.0000
0.0000 0.0000 8.1539
Sr Ga Au
2 1 3
Cartesian
0.0000 0.0000 0.0000
0.0000 2.3286 3.8958
2.0626 2.3286 6.6204
2.0626 0.0000 2.6877
2.0626 0.0000 5.5037
2.0626 2.3286 1.0713
```

Output
The value obtained for the volume is 156.7 Å³/cell. The total moment is 0.00 μB per cell. As for the space group: Pmm2. As for the crystal system: orthorhombic. For the formation energy, the calculation gives -4.25 eV/f.u. Its energy above the lowest structure with this stoichiometry is 0.000 eV per atom. For the total energy, the calculation gives -20.47 eV per formula unit.


[10]
A relaxed SrGa3Au3 crystal, computed with PBE.

```
SrGa3Au3
1.0
7.1321 0.0000 0.0000
0.0000 7.1321 0.0000
0.0000 0.0000 7.1321
Sr Ga Au
2 6 6
Cartesian
0.0000 0.0000 0.0000
3.5660 3.5660 3.5660
0.0000 1.7830 3.5660
0.0000 5.3490 3.5660
1.7830 3.5660 0.0000
3.5660 0.0000 1.7830
3.5660 0.0000 5.3490
5.3490 3.5660 0.0000
0.0000 3.5660 1.7830
0.0000 3.5660 5.3490
1.7830 0.0000 3.5660
3.5660 1.7830 0.0000
3.5660 5.3490 0.0000
5.3490 0.0000 3.5660
```

Output
The value obtained for the volume is 362.8 Å³/cell. The total moment is 0.00 μB per cell. As for the space group: Pm-3n. As for the crystal system: cubic. For the formation energy, the calculation gives -2.09 eV/f.u. Its energy above the lowest structure with this stoichiometry is 0.091 eV per atom. For the total energy, the calculation gives -22.69 eV per formula unit.


[11]
A relaxed Sr2Ga2Au crystal, computed with PBE.

```
Sr2Ga2Au
1.0
4.0136 0.0000 0.0000
0.0000 4.6303 0.0000
0.0000 0.0000 14.5515
Sr Ga Au
4 4 2
Cartesian
0.0000 0.0000 0.0000
0.0000 0.0000 3.5520
0.0000 2.3152 7.2757
0.0000 2.3152 10.8277
2.0068 0.0000 9.0615
2.0068 0.0000 11.9270
2.0068 2.3152 1.7857
2.0068 2.3152 4.6513
2.0068 0.0000 6.1160
2.0068 2.3152 13.3917
```

Output
The value obtained for the volume is 270.4 Å³/cell. The total moment is 0.00 μB per cell. As for the space group: Amm2. As for the crystal system: orthorhombic. For the formation energy, the calculation gives -2.52 eV/f.u. Its energy above the lowest structure with this stoichiometry is 0.048 eV per atom. For the total energy, the calculation gives -15.21 eV per formula unit.


[12]
A relaxed SrGa2Au3 crystal, computed with PBE.

```
SrGa2Au3
1.0
8.6703 -2.1976 0.0000
8.6703 2.1976 0.0000
-3.2616 0.0000 10.1727
Sr Ga Au
3 6 9
Cartesian
0.0000 0.0000 0.0000
0.3631 0.0000 7.1220
13.7159 0.0000 3.0507
3.2291 0.0000 1.0744
4.3415 0.0000 5.6206
7.6134 0.0000 2.3926
6.4655 0.0000 7.7801
9.7375 0.0000 4.5522
10.8498 0.0000 9.0983
-0.3302 0.0000 3.6110
2.6213 0.0000 3.7195
5.7880 0.0000 0.5891
3.7789 0.0000 8.2460
7.0395 0.0000 5.0864
10.3000 0.0000 1.9268
8.2910 0.0000 9.5837
11.4577 0.0000 6.4532
14.4092 0.0000 6.5617
```

Output
The value obtained for the volume is 387.7 Å³/cell. The total moment is 0.00 μB per cell. As for the space group: C2/m. As for the crystal system: monoclinic. For the formation energy, the calculation gives -3.10 eV/f.u. For the total energy, the calculation gives -20.67 eV per formula unit.


[13]
A relaxed SrGa3Au10 crystal, computed with PBE.

```
SrGa3Au10
1.0
0.0000 6.6000 6.6000
6.6000 0.0000 6.6000
6.6000 6.6000 0.0000
Sr Ga Au
2 6 20
Cartesian
3.3000 3.3000 3.3000
9.9001 9.9001 9.9001
6.6000 6.6000 3.1942
6.6000 3.1942 6.6000
10.0058 6.6000 6.6000
3.1942 6.6000 6.6000
6.6000 10.0058 6.6000
6.6000 6.6000 10.0058
1.4849 1.4849 1.4849
5.1152 5.1152 1.4849
5.1152 1.4849 5.1152
6.6000 4.2944 4.2944
8.9057 6.6000 4.2944
8.9057 4.2944 6.6000
11.7152 8.0849 8.0849
4.2944 6.6000 4.2944
6.6000 8.9057 4.2944
4.2944 4.2944 6.6000
8.9057 8.9057 6.6000
6.6000 4.2944 8.9057
8.9057 6.6000 8.9057
1.4849 5.1152 5.1152
4.2944 8.9057 6.6000
4.2944 6.6000 8.9057
6.6000 8.9057 8.9057
8.0849 11.7152 8.0849
8.0849 8.0849 11.7152
11.7152 11.7152 11.7152
```

Output
The value obtained for the volume is 575.0 Å³/cell. The total moment is 0.00 μB per cell. As for the space group: Fm-3m. As for the crystal system: cubic. For the formation energy, the calculation gives -2.62 eV/f.u. For the total energy, the calculation gives -46.16 eV per formula unit.


[14]
A relaxed Sr2Ga2Au crystal, computed with PBE.

```
Sr2Ga2Au
1.0
7.4007 0.0000 0.0000
0.0000 7.4007 0.0000
0.0000 0.0000 4.8844
Sr Ga Au
4 4 2
Cartesian
1.3209 2.3795 0.0000
2.3795 6.0798 0.0000
5.0212 1.3209 0.0000
6.0798 5.0212 0.0000
0.9252 4.6255 2.4422
2.7752 0.9252 2.4422
4.6255 6.4755 2.4422
6.4755 2.7752 2.4422
0.0000 0.0000 2.4422
3.7003 3.7003 2.4422
```

Output
The value obtained for the volume is 267.5 Å³/cell. The total moment is 0.00 μB per cell. As for the space group: P4/mbm. As for the crystal system: tetragonal. For the formation energy, the calculation gives -2.12 eV/f.u. Its energy above the lowest structure with this stoichiometry is 0.129 eV per atom. For the total energy, the calculation gives -14.81 eV per formula unit.


[15]
A relaxed Sr2Ga2Au crystal, computed with PBE.

```
Sr2Ga2Au
1.0
5.7949 -2.3111 0.0000
5.7949 2.3111 0.0000
-5.1969 0.0000 10.5062
Sr Ga Au
4 4 2
Cartesian
-0.9166 0.0000 4.0878
-0.9925 0.0000 8.9203
7.3853 0.0000 1.5858
7.3095 0.0000 6.4183
-4.2453 0.0000 9.6851
2.4883 0.0000 4.1166
3.9046 0.0000 6.3896
10.6382 0.0000 0.8210
4.0036 0.0000 1.8720
2.3892 0.0000 8.6341
```

Output
The value obtained for the volume is 281.4 Å³/cell. The total moment is 0.00 μB per cell. As for the space group: C2/m. As for the crystal system: monoclinic. For the formation energy, the calculation gives -2.76 eV/f.u. Its energy above the lowest structure with this stoichiometry is 0.000 eV per atom. For the total energy, the calculation gives -15.46 eV per formula unit.


[16]
A relaxed Sr3GaAu3 crystal, computed with PBE.

```
Sr3GaAu3
1.0
5.8863 -2.2375 0.0000
5.8863 2.2375 0.0000
-5.3967 0.0000 14.8919
Sr Ga Au
6 2 6
Cartesian
-1.7669 0.0000 5.7626
-3.7636 0.0000 13.7217
1.6216 0.0000 3.4674
4.7543 0.0000 11.4245
10.1394 0.0000 1.1702
8.1427 0.0000 9.1293
-0.1575 0.0000 8.8875
6.5333 0.0000 6.0044
1.7875 0.0000 6.7678
-0.4274 0.0000 13.7271
1.3399 0.0000 11.3238
5.0360 0.0000 3.5681
6.8033 0.0000 1.1648
4.5883 0.0000 8.1240
```

Output
The value obtained for the volume is 392.3 Å³/cell. The total moment is 0.00 μB per cell. As for the space group: C2/m. As for the crystal system: monoclinic. For the formation energy, the calculation gives -4.96 eV/f.u. Its energy above the lowest structure with this stoichiometry is 0.000 eV per atom. For the total energy, the calculation gives -22.87 eV per formula unit.


[17]
A relaxed SrGa4Au12 crystal, computed with PBE.

```
SrGa4Au12
1.0
-4.5193 4.5193 4.5193
4.5193 -4.5193 4.5193
4.5193 4.5193 -4.5193
Sr Ga Au
1 4 12
Cartesian
0.0000 0.0000 0.0000
2.2597 2.2597 -2.2597
2.2597 -2.2597 2.2597
-2.2597 2.2597 2.2597
2.2597 2.2597 2.2597
3.1231 1.4063 0.0000
5.9156 1.4063 0.0000
4.5193 -1.3963 3.1131
3.1131 4.5193 -1.3963
1.4063 0.0000 3.1231
4.5193 1.3963 3.1131
0.0000 3.1231 1.4063
3.1131 4.5193 1.3963
1.4063 0.0000 5.9156
0.0000 5.9156 1.4063
-1.3963 3.1131 4.5193
1.3963 3.1131 4.5193
```

Output
The value obtained for the volume is 369.2 Å³/cell. The total moment is 0.00 μB per cell. As for the space group: Im-3. As for the crystal system: cubic. For the formation energy, the calculation gives -1.56 eV/f.u. For the total energy, the calculation gives -54.68 eV per formula unit.


[18]
A relaxed SrGa4Au3 crystal, computed with PBE.

```
SrGa4Au3
1.0
4.4083 0.0000 0.0000
0.0000 4.4083 0.0000
0.0000 0.0000 8.8397
Sr Ga Au
1 4 3
Cartesian
0.0000 0.0000 0.0000
0.0000 2.2042 2.8994
0.0000 2.2042 5.9403
2.2042 0.0000 2.8994
2.2042 0.0000 5.9403
0.0000 0.0000 4.4198
2.2042 2.2042 1.3997
2.2042 2.2042 7.4399
```

Output
The value obtained for the volume is 171.8 Å³/cell. The total moment is 0.00 μB per cell. As for the space group: P4/mmm. As for the crystal system: tetragonal. For the formation energy, the calculation gives -3.69 eV/f.u. For the total energy, the calculation gives -27.31 eV per formula unit.


[19]
A relaxed SrGaAu3 crystal, computed with PBE.

```
SrGaAu3
1.0
5.8493 0.0000 0.0000
0.0000 5.8493 0.0000
0.0000 0.0000 5.8493
Sr Ga Au
1 1 3
Cartesian
0.0000 0.0000 0.0000
2.9246 2.9246 2.9246
0.0000 0.0000 2.9246
0.0000 2.9246 0.0000
2.9246 0.0000 0.0000
```

Output
The value obtained for the volume is 200.1 Å³/cell. The total moment is 0.00 μB per cell. As for the space group: Pm-3m. As for the crystal system: cubic. For the formation energy, the calculation gives 2.03 eV/f.u. Its energy above the lowest structure with this stoichiometry is 0.960 eV per atom. For the total energy, the calculation gives -12.51 eV per formula unit.


[20]
A relaxed Sr2Ga2Au crystal, computed with PBE.

```
Sr2Ga2Au
1.0
3.8750 0.0000 0.0000
0.0000 3.8750 0.0000
0.0000 0.0000 18.9428
Sr Ga Au
4 4 2
Cartesian
0.0000 0.0000 1.8750
0.0000 0.0000 17.0678
1.9375 1.9375 7.5964
1.9375 1.9375 11.3464
0.0000 1.9375 4.7357
0.0000 1.9375 14.2071
1.9375 0.0000 4.7357
1.9375 0.0000 14.2071
0.0000 0.0000 9.4714
1.9375 1.9375 0.0000
```

Output
The value obtained for the volume is 284.4 Å³/cell. The total moment is 0.00 μB per cell. As for the space group: I4/mmm. As for the crystal system: tetragonal. For the formation energy, the calculation gives -1.88 eV/f.u. Its energy above the lowest structure with this stoichiometry is 0.176 eV per atom. For the total energy, the calculation gives -14.57 eV per formula unit.